No. 1
The following is a DFT calculation (PBE-GGA) of a geometry-optimized NaZnPO4 structure.

Output
Final energy = -508.789 eV per cell
Calculated density = 3.24 g/cm3
E above lowest polymorph = 8.9 meV per atom

Cell lengths 8.270, 8.795, 15.486 Å; angles 89.81, 90.00, 90.00 degrees
Sites, in units of the cell vectors:
Na  0.533  0.272  0.935
Na  0.033  0.228  0.565
Na  0.467  0.728  0.065
Na  0.967  0.772  0.435
Na  0.467  0.263  0.593
Na  0.967  0.237  0.907
Na  0.533  0.737  0.407
Na  0.033  0.763  0.093
Na  0.456  0.741  0.752
Na  0.956  0.759  0.748
Na  0.544  0.259  0.248
Na  0.044  0.241  0.252
Zn  0.779  0.085  0.735
Zn  0.279  0.415  0.765
Zn  0.221  0.915  0.265
Zn  0.721  0.585  0.235
Zn  0.286  0.890  0.578
Zn  0.786  0.610  0.922
Zn  0.714  0.110  0.422
Zn  0.214  0.390  0.078
Zn  0.781  0.562  0.593
Zn  0.281  0.938  0.907
Zn  0.219  0.438  0.407
Zn  0.719  0.062  0.093
P  0.171  0.076  0.733
P  0.671  0.424  0.767
P  0.829  0.924  0.267
P  0.329  0.576  0.233
P  0.674  0.897  0.579
P  0.174  0.603  0.921
P  0.326  0.103  0.421
P  0.826  0.397  0.079
P  0.172  0.558  0.592
P  0.672  0.942  0.908
P  0.828  0.442  0.408
P  0.328  0.058  0.092
O  0.651  0.426  0.667
O  0.151  0.074  0.833
O  0.349  0.574  0.333
O  0.849  0.926  0.167
O  0.760  0.277  0.798
O  0.260  0.223  0.702
O  0.240  0.723  0.202
O  0.740  0.777  0.298
O  0.769  0.566  0.797
O  0.269  0.934  0.703
O  0.231  0.434  0.203
O  0.731  0.066  0.297
O  0.503  0.430  0.811
O  0.003  0.070  0.689
O  0.497  0.570  0.189
O  0.997  0.930  0.311
O  0.767  0.776  0.633
O  0.267  0.724  0.867
O  0.233  0.224  0.367
O  0.733  0.276  0.133
O  0.769  0.921  0.823
O  0.772  0.935  0.495
O  0.228  0.065  0.505
O  0.728  0.435  0.995
O  0.645  0.043  0.633
O  0.145  0.457  0.867
O  0.355  0.957  0.367
O  0.855  0.543  0.133
O  0.509  0.828  0.552
O  0.009  0.672  0.948
O  0.491  0.172  0.448
O  0.991  0.328  0.052
O  0.651  0.785  0.954
O  0.151  0.715  0.546
O  0.349  0.215  0.046
O  0.849  0.285  0.454
O  0.004  0.489  0.614
O  0.504  0.011  0.886
O  0.996  0.511  0.386
O  0.496  0.989  0.114
O  0.736  0.556  0.468
O  0.236  0.944  0.032
O  0.264  0.444  0.532
O  0.764  0.056  0.968
O  0.731  0.421  0.323
O  0.231  0.079  0.177
O  0.269  0.579  0.677
O  0.272  0.565  0.005


No. 2
The following is a DFT calculation (PBE-GGA) of a geometry-optimized NaHf2Si structure.

Output
Final energy = -49.403 eV per cell
Calculated density = 7.81 g/cm3

Cell lengths 7.764, 7.764, 6.200 Å; angles 51.23, 51.23, 90.00 degrees
Sites, in units of the cell vectors:
Na  0.500  0.500  0.000
Na  0.250  0.750  0.500
Si  0.000  0.000  0.000
Si  0.750  0.250  0.500
Hf  0.663  0.125  0.250
Hf  0.087  0.625  0.250
Hf  0.375  0.337  0.750
Hf  0.875  0.913  0.750


No. 3
The following is a DFT calculation (PBE-GGA) of a geometry-optimized NaSm2Pu3Te6 structure.

Output
Final energy = -87.046 eV per cell
Calculated density = 8.04 g/cm3

Cell lengths 4.444, 8.948, 9.960 Å; angles 102.69, 102.89, 90.00 degrees
Last column: magnetic moment on the atom in μB.
Sites, in units of the cell vectors:
Na  0.500  0.000  0.000  0.00
Sm  0.833  0.665  0.667  0.09
Sm  0.167  0.335  0.333  0.09
Pu  0.500  0.500  0.000  5.49
Pu  0.835  0.165  0.669  5.55
Pu  0.165  0.835  0.331  5.55
Te  0.332  0.914  0.664  -0.05
Te  0.666  0.587  0.332  -0.04
Te  0.668  0.086  0.336  -0.05
Te  0.001  0.253  0.002  -0.06
Te  0.999  0.747  0.998  -0.06
Te  0.334  0.413  0.668  -0.04